24
Lattice="4.9314 0.0000 0.0000 0.0000 5.9497 0.0000 -0.4511 0.0000 10.0133" Properties=species:S:1:pos:R:3 comment="Fe3CuP4O16, relaxed, DFT PBE with a Hubbard U" sg="Pm, No. 6" e_tot_ev_per_atom=-6.88 volume_a3_per_cell=293.8 pbc="T T T"
Fe 0.0000 0.0000 0.0000
Fe 0.1921 2.9748 5.6679
Fe 2.6671 0.0000 5.1571
Cu 1.9891 2.9748 0.9475
P 0.4490 0.0000 6.9186
P 2.2739 0.0000 1.8772
P 2.8887 2.9748 3.9099
P 4.2966 2.9748 8.9132
O 0.7182 0.0000 8.4141
O 0.9021 2.9748 9.2410
O 1.1720 1.1972 6.1715
O 1.1720 4.7525 6.1715
O 1.4815 1.1623 1.1411
O 1.4815 4.7874 1.1411
O 1.3828 2.9748 4.1384
O 1.9238 0.0000 3.3660
O 3.1688 2.9748 2.3908
O 3.7607 0.0000 1.6142
O 3.6320 1.7824 4.6230
O 3.6320 4.1673 4.6230
O 3.6307 1.7143 9.5028
O 3.6307 4.2354 9.5028
O 3.8741 0.0000 6.6466
O 4.2399 2.9748 7.3730